w) The following is a DFT calculation (PBE) of crystalline SiSnSe2N at its relaxed geometry.

SG   P4/mmm (123)
Magnetic moment   0.00 μB per atom

Geometry as POSCAR:
```
SiSnSe2N
1.0
5.3464 0.0000 0.0000
0.0000 5.3464 0.0000
0.0000 0.0000 3.3223
Si Sn Se N
1 1 2 1
Cartesian
0.0000 0.0000 0.0000 Si
2.6732 2.6732 1.6611 Sn
0.0000 2.6732 0.0000 Se
2.6732 0.0000 0.0000 Se
0.0000 0.0000 1.6611 N
```

=====

x) The following is a DFT calculation (PBE) of crystalline SiSnSe2N at its relaxed geometry.

SG   P4/mmm (123)
Magnetic moment   0.21 μB per atom

Geometry as POSCAR:
```
SiSnSe2N
1.0
5.3403 0.0000 0.0000
0.0000 5.3403 0.0000
0.0000 0.0000 4.0056
Si Sn Se N
1 1 2 1
Cartesian
0.0000 0.0000 0.0000 Si
2.6701 2.6701 2.0028 Sn
0.0000 2.6701 2.0028 Se
2.6701 0.0000 2.0028 Se
2.6701 2.6701 0.0000 N
```

=====

Taking the most stable structure as the zero point, the relative energies in meV per atom are w) 0; x) 865.

=====

w) The following is a DFT calculation (PBE) of crystalline TaSiSeN2 at its relaxed geometry.

SG   P4/mmm (123)
Magnetic moment   0.03 μB per atom

Geometry as POSCAR:
```
TaSiSeN2
1.0
3.6439 0.0000 0.0000
0.0000 3.6439 0.0000
0.0000 0.0000 4.8554
Ta Si Se N
1 1 1 2
Cartesian
0.0000 0.0000 0.0000 Ta
1.8220 1.8220 2.4277 Si
1.8220 1.8220 0.0000 Se
0.0000 1.8220 2.4277 N
1.8220 0.0000 2.4277 N
```

=====

x) The following is a DFT calculation (PBE) of crystalline TaSiSeN2 at its relaxed geometry.

SG   P4/mmm (123)
Magnetic moment   0.00 μB per atom

Geometry as POSCAR:
```
TaSiSeN2
1.0
3.9974 0.0000 0.0000
0.0000 3.9974 0.0000
0.0000 0.0000 5.3822
Ta Si Se N
1 1 1 2
Cartesian
0.0000 0.0000 0.0000 Ta
1.9987 1.9987 2.6911 Si
0.0000 0.0000 2.6911 Se
0.0000 1.9987 0.0000 N
1.9987 0.0000 0.0000 N
```

=====

Taking the most stable structure as the zero point, the relative energies in meV per atom are w) 379; x) 0.